A plane-wave DFT calculation with PBEsol was carried out for an optimized crystal structure of SrZr2Al.

Geometry as extended XYZ:
```
4
Lattice="3.177 -5.379 0.000 3.177 5.379 0.000 -1.400 0.000 2.785" Properties=species:S:1:pos:R:3 pbc="T T T"
Sr 0.000 0.000 0.000
Zr 0.888 2.689 1.392
Zr 0.888 -2.689 1.392
Al 3.177 0.000 0.000
```

Output
- E (eV/f.u.) = -22.839